No. 1
Entry from Alexandria via LeMat-Bulk: an optimized crystal structure of BaHg2Bi (GGA-PBE).

- symmetry = Immm (71)
- total DFT energy (no corrections) (eV/atom) = -1.876
- crystal system = orthorhombic

Cell lengths 7.5387, 7.5387, 7.5387 Å; angles 141.27, 141.13, 56.04 degrees
Positions (direct):
Ba  0.0000  0.0000  0.0000
Hg  0.2712  0.2712  0.0000
Hg  0.7288  0.7288  0.0000
Bi  0.5000  0.5000  0.0000

No. 2
Entry from Alexandria via LeMat-Bulk: an optimized crystal structure of Ba6Hg5Bi (GGA-PBE).

- symmetry = C2/m (12)
- total DFT energy (no corrections) (eV/atom) = -1.874
- crystal system = monoclinic

Cell lengths 8.0921, 8.0921, 9.3361 Å; angles 97.13, 97.13, 117.60 degrees
Positions (direct):
Ba  0.0719  0.4093  0.7310
Ba  0.2144  0.2144  0.2100
Ba  0.4093  0.0719  0.7310
Ba  0.5907  0.9281  0.2690
Ba  0.7856  0.7856  0.7900
Ba  0.9281  0.5907  0.2690
Hg  0.1949  0.8051  0.0000
Hg  0.3846  0.6154  0.5000
Hg  0.5000  0.5000  0.0000
Hg  0.6154  0.3846  0.5000
Hg  0.8051  0.1949  0.0000
Bi  0.0000  0.0000  0.5000

No. 3
Entry from Alexandria via LeMat-Bulk: an optimized crystal structure of Ba4Hg2Bi5 (GGA-PBE).

- symmetry = P2/m (10)
- total DFT energy (no corrections) (eV/atom) = -3.180
- crystal system = monoclinic

Cell lengths 8.4160, 5.0940, 9.9586 Å; angles 90.00, 91.05, 90.00 degrees
Positions (direct):
Ba  0.2321  0.0000  0.3676
Ba  0.2617  0.0000  0.8777
Ba  0.7383  0.0000  0.1223
Ba  0.7679  0.0000  0.6324
Hg  0.0824  0.5000  0.1244
Hg  0.9176  0.5000  0.8756
Bi  0.1230  0.5000  0.6225
Bi  0.4390  0.5000  0.1579
Bi  0.5000  0.5000  0.5000
Bi  0.5610  0.5000  0.8421
Bi  0.8770  0.5000  0.3775

No. 4
Entry from Alexandria via LeMat-Bulk: an optimized crystal structure of BaHg3Bi3 (GGA-PBE).

- symmetry = Pm-3n (223)
- total DFT energy (no corrections) (eV/atom) = -2.111
- crystal system = cubic

Cell lengths 8.2654, 8.2654, 8.2654 Å; angles 90.00, 90.00, 90.00 degrees
Positions (direct):
Ba  0.0000  0.0000  0.0000
Ba  0.5000  0.5000  0.5000
Hg  0.0000  0.2500  0.5000
Hg  0.0000  0.7500  0.5000
Hg  0.2500  0.5000  0.0000
Hg  0.5000  0.0000  0.2500
Hg  0.5000  0.0000  0.7500
Hg  0.7500  0.5000  0.0000
Bi  0.0000  0.5000  0.2500
Bi  0.0000  0.5000  0.7500
Bi  0.2500  0.0000  0.5000
Bi  0.5000  0.2500  0.0000
Bi  0.5000  0.7500  0.0000
Bi  0.7500  0.0000  0.5000

No. 5
Entry from Alexandria via LeMat-Bulk: an optimized crystal structure of Ba4Hg13Bi4 (GGA-PBE).

- symmetry = P1 (1)
- total DFT energy (no corrections) (eV/atom) = -1.658
- crystal system = triclinic

Cell lengths 5.1685, 11.1613, 12.3067 Å; angles 109.18, 90.07, 90.03 degrees
Positions (direct):
Ba  0.0000  0.0000  0.0000
Ba  0.0001  0.4799  0.2816
Ba  0.0008  0.8749  0.5782
Ba  0.4997  0.4469  0.7910
Hg  0.9995  0.2191  0.7061
Hg  0.0003  0.3098  0.9702
Hg  0.9995  0.4462  0.5802
Hg  0.0013  0.1637  0.4209
Hg  0.0013  0.6877  0.7813
Hg  0.0008  0.8742  0.2543
Hg  0.5004  0.2487  0.0892
Hg  0.4998  0.5344  0.1134
Hg  0.4998  0.7860  0.0110
Hg  0.5009  0.0263  0.2177
Hg  0.5010  0.0736  0.5193
Hg  0.5010  0.3015  0.3710
Hg  0.5014  0.8117  0.7662
Bi  0.9996  0.6196  0.0129
Bi  0.4994  0.0890  0.8048
Bi  0.5001  0.6062  0.5204
Bi  0.5008  0.7593  0.3493

No. 6
Entry from Alexandria via LeMat-Bulk: an optimized crystal structure of BaHg6Bi2 (GGA-PBE).

- symmetry = P-1 (2)
- total DFT energy (no corrections) (eV/atom) = -1.458
- crystal system = triclinic

Cell lengths 5.9498, 6.6612, 7.1753 Å; angles 102.95, 90.19, 93.03 degrees
Positions (direct):
Ba  0.0000  0.0000  0.0000
Hg  0.0276  0.5505  0.2524
Hg  0.2367  0.0442  0.5174
Hg  0.4847  0.7368  0.1335
Hg  0.5153  0.2632  0.8665
Hg  0.7633  0.9558  0.4826
Hg  0.9724  0.4495  0.7476
Bi  0.4671  0.6812  0.6806
Bi  0.5329  0.3188  0.3194

No. 7
Entry from Alexandria via LeMat-Bulk: an optimized crystal structure of Ba2Hg10Bi (GGA-PBE).

- symmetry = Pbam (55)
- total DFT energy (no corrections) (eV/atom) = -1.021
- crystal system = orthorhombic

Cell lengths 10.7800, 13.4622, 6.1418 Å; angles 90.00, 90.00, 90.00 degrees
Positions (direct):
Ba  0.1990  0.0825  0.0000
Ba  0.3010  0.5825  0.0000
Ba  0.6990  0.4175  0.0000
Ba  0.8010  0.9175  0.0000
Hg  0.0569  0.6143  0.5000
Hg  0.1103  0.8008  0.2316
Hg  0.1103  0.8008  0.7684
Hg  0.1512  0.2171  0.5000
Hg  0.2122  0.4376  0.5000
Hg  0.2878  0.9376  0.5000
Hg  0.3488  0.7171  0.5000
Hg  0.3897  0.3008  0.2316
Hg  0.3897  0.3008  0.7684
Hg  0.4431  0.1143  0.5000
Hg  0.5569  0.8857  0.5000
Hg  0.6103  0.6992  0.2316
Hg  0.6103  0.6992  0.7684
Hg  0.6512  0.2829  0.5000
Hg  0.7122  0.0624  0.5000
Hg  0.7878  0.5624  0.5000
Hg  0.8488  0.7829  0.5000
Hg  0.8897  0.1992  0.2316
Hg  0.8897  0.1992  0.7684
Hg  0.9431  0.3857  0.5000
Bi  0.0000  0.0000  0.5000
Bi  0.5000  0.5000  0.5000

No. 8
Entry from Alexandria via LeMat-Bulk: an optimized crystal structure of Ba2Hg6Bi3 (GGA-PBE).

- symmetry = Cmmm (65)
- total DFT energy (no corrections) (eV/atom) = -1.832
- crystal system = orthorhombic

Cell lengths 9.3009, 9.3009, 4.6677 Å; angles 90.00, 90.00, 111.35 degrees
Positions (direct):
Ba  0.2201  0.2201  0.0000
Ba  0.7799  0.7799  0.0000
Hg  0.1236  0.8764  0.5000
Hg  0.1307  0.4541  0.5000
Hg  0.4541  0.1307  0.5000
Hg  0.5459  0.8693  0.5000
Hg  0.8693  0.5459  0.5000
Hg  0.8764  0.1236  0.5000
Bi  0.3305  0.6695  0.0000
Bi  0.5000  0.5000  0.5000
Bi  0.6695  0.3305  0.0000

No. 9
Entry from Alexandria via LeMat-Bulk: an optimized crystal structure of BaHg2Bi3 (GGA-PBE).

- symmetry = P6/mmm (191)
- total DFT energy (no corrections) (eV/atom) = -2.604
- crystal system = hexagonal

Cell lengths 6.8052, 6.8052, 5.1542 Å; angles 90.00, 90.00, 120.00 degrees
Positions (direct):
Ba  0.0000  0.0000  0.0000
Hg  0.3333  0.6667  0.0000
Hg  0.6667  0.3333  0.0000
Bi  0.0000  0.5000  0.5000
Bi  0.5000  0.0000  0.5000
Bi  0.5000  0.5000  0.5000

No. 10
Entry from Alexandria via LeMat-Bulk: an optimized crystal structure of BaHg8Bi2 (GGA-PBE).

- symmetry = C2/m (12)
- total DFT energy (no corrections) (eV/atom) = -1.219
- crystal system = monoclinic

Cell lengths 9.3598, 9.3598, 5.7156 Å; angles 104.08, 104.08, 129.24 degrees
Positions (direct):
Ba  0.0000  0.0000  0.0000
Hg  0.0792  0.3543  0.7495
Hg  0.2141  0.7859  0.0000
Hg  0.3543  0.0792  0.7495
Hg  0.4427  0.4427  0.7099
Hg  0.5573  0.5573  0.2901
Hg  0.6457  0.9208  0.2505
Hg  0.7859  0.2141  0.0000
Hg  0.9208  0.6457  0.2505
Bi  0.3329  0.6671  0.5000
Bi  0.6671  0.3329  0.5000

No. 11
Entry from Alexandria via LeMat-Bulk: an optimized crystal structure of Ba3Hg2Bi3 (GGA-PBE).

- symmetry = Cmcm (63)
- total DFT energy (no corrections) (eV/atom) = -2.913
- crystal system = orthorhombic

Cell lengths 7.0812, 7.0812, 17.7770 Å; angles 90.00, 90.00, 137.26 degrees
Positions (direct):
Ba  0.0859  0.9141  0.6036
Ba  0.0859  0.9141  0.8964
Ba  0.3445  0.6555  0.7500
Ba  0.6555  0.3445  0.2500
Ba  0.9141  0.0859  0.1036
Ba  0.9141  0.0859  0.3964
Hg  0.2265  0.7735  0.0972
Hg  0.2265  0.7735  0.4028
Hg  0.7735  0.2265  0.5972
Hg  0.7735  0.2265  0.9028
Bi  0.3655  0.6345  0.2500
Bi  0.3863  0.6137  0.5495
Bi  0.3863  0.6137  0.9505
Bi  0.6137  0.3863  0.0495
Bi  0.6137  0.3863  0.4505
Bi  0.6345  0.3655  0.7500

No. 12
Entry from Alexandria via LeMat-Bulk: an optimized crystal structure of Ba3HgBi2 (GGA-PBE).

- symmetry = Cmmm (65)
- total DFT energy (no corrections) (eV/atom) = -3.086
- crystal system = orthorhombic

Cell lengths 9.6579, 9.6579, 4.4036 Å; angles 90.00, 90.00, 144.06 degrees
Positions (direct):
Ba  0.0000  0.0000  0.0000
Ba  0.3241  0.6759  0.0000
Ba  0.6759  0.3241  0.0000
Hg  0.5000  0.5000  0.5000
Bi  0.1556  0.8444  0.5000
Bi  0.8444  0.1556  0.5000

No. 13
Entry from Alexandria via LeMat-Bulk: an optimized crystal structure of Ba3Hg4Bi4 (GGA-PBE).

- symmetry = Immm (71)
- total DFT energy (no corrections) (eV/atom) = -2.586
- crystal system = orthorhombic

Cell lengths 10.1092, 10.1092, 10.1092 Å; angles 150.28, 130.64, 58.69 degrees
Positions (direct):
Ba  0.0000  0.0000  0.0000
Ba  0.3661  0.8661  0.5000
Ba  0.6339  0.1339  0.5000
Hg  0.0328  0.3295  0.7034
Hg  0.3739  0.6705  0.7034
Hg  0.6261  0.3295  0.2966
Hg  0.9672  0.6705  0.2966
Bi  0.2115  0.2115  0.0000
Bi  0.3162  0.5000  0.8162
Bi  0.6838  0.5000  0.1838
Bi  0.7885  0.7885  0.0000

No. 14
Entry from Alexandria via LeMat-Bulk: an optimized crystal structure of BaHgBi3 (GGA-PBE).

- symmetry = Pmn2_1 (31)
- total DFT energy (no corrections) (eV/atom) = -3.109
- crystal system = orthorhombic

Cell lengths 6.9977, 7.2146, 7.2135 Å; angles 90.00, 90.00, 90.00 degrees
Positions (direct):
Ba  0.0000  0.2480  0.0000
Ba  0.5000  0.7520  0.5000
Hg  0.0000  0.6191  0.6688
Hg  0.5000  0.3809  0.1688
Bi  0.0000  0.9102  0.3655
Bi  0.2484  0.2734  0.5255
Bi  0.2516  0.7266  0.0255
Bi  0.5000  0.0898  0.8655
Bi  0.7484  0.7266  0.0255
Bi  0.7516  0.2734  0.5255

No. 15
Entry from Alexandria via LeMat-Bulk: an optimized crystal structure of BaHg3Bi2 (GGA-PBE).

- symmetry = C2/m (12)
- total DFT energy (no corrections) (eV/atom) = -2.087
- crystal system = monoclinic

Cell lengths 9.8394, 9.8394, 7.8944 Å; angles 109.04, 109.04, 33.32 degrees
Positions (direct):
Ba  0.1378  0.1378  0.1721
Ba  0.8622  0.8622  0.8279
Hg  0.0368  0.0368  0.6900
Hg  0.3223  0.3223  0.1008
Hg  0.3326  0.3326  0.5159
Hg  0.6674  0.6674  0.4841
Hg  0.6777  0.6777  0.8992
Hg  0.9632  0.9632  0.3100
Bi  0.2037  0.2037  0.7106
Bi  0.4973  0.4973  0.1893
Bi  0.5027  0.5027  0.8107
Bi  0.7963  0.7963  0.2894

No. 16
Entry from Alexandria via LeMat-Bulk: an optimized crystal structure of Ba2Hg4Bi3 (GGA-PBE).

- symmetry = C2/m (12)
- total DFT energy (no corrections) (eV/atom) = -2.229
- crystal system = monoclinic

Cell lengths 7.7256, 7.7256, 9.9727 Å; angles 120.62, 120.62, 41.03 degrees
Positions (direct):
Ba  0.1718  0.1718  0.2366
Ba  0.8282  0.8282  0.7634
Hg  0.2637  0.2637  0.9594
Hg  0.4248  0.4248  0.6300
Hg  0.5752  0.5752  0.3700
Hg  0.7363  0.7363  0.0406
Bi  0.1219  0.1219  0.5736
Bi  0.5000  0.5000  0.0000
Bi  0.8781  0.8781  0.4264

No. 17
Entry from Alexandria via LeMat-Bulk: an optimized crystal structure of BaHg2Bi (GGA-PBE).

- symmetry = I-42d (122)
- total DFT energy (no corrections) (eV/atom) = -1.992
- crystal system = tetragonal

Cell lengths 11.9387, 11.9387, 11.9387 Å; angles 155.18, 155.18, 35.39 degrees
Positions (direct):
Ba  0.0000  0.0000  0.0000
Ba  0.7500  0.2500  0.5000
Hg  0.1977  0.6250  0.0727
Hg  0.3750  0.4477  0.5727
Hg  0.5523  0.1250  0.9273
Hg  0.8750  0.8023  0.4273
Bi  0.2500  0.7500  0.5000
Bi  0.5000  0.5000  0.0000

No. 18
Entry from Alexandria via LeMat-Bulk: an optimized crystal structure of BaHg4Bi2 (GGA-PBE).

- symmetry = I4/mmm (139)
- total DFT energy (no corrections) (eV/atom) = -1.642
- crystal system = tetragonal

Cell lengths 7.2603, 7.2603, 7.2603 Å; angles 102.28, 102.28, 125.07 degrees
Positions (direct):
Ba  0.0000  0.0000  0.0000
Hg  0.2749  0.5000  0.7749
Hg  0.5000  0.2749  0.7749
Hg  0.5000  0.7251  0.2251
Hg  0.7251  0.5000  0.2251
Bi  0.2500  0.7500  0.5000
Bi  0.7500  0.2500  0.5000

No. 19
Entry from Alexandria via LeMat-Bulk: an optimized crystal structure of BaHg4Bi (GGA-PBE).

- symmetry = Cmcm (63)
- total DFT energy (no corrections) (eV/atom) = -1.395
- crystal system = orthorhombic

Cell lengths 13.7118, 13.7118, 6.1375 Å; angles 90.00, 90.00, 159.82 degrees
Positions (direct):
Ba  0.1057  0.8943  0.7500
Ba  0.8943  0.1057  0.2500
Hg  0.1748  0.8252  0.2500
Hg  0.2880  0.7120  0.0152
Hg  0.2880  0.7120  0.4848
Hg  0.5000  0.5000  0.0000
Hg  0.5000  0.5000  0.5000
Hg  0.7120  0.2880  0.5152
Hg  0.7120  0.2880  0.9848
Hg  0.8252  0.1748  0.7500
Bi  0.4039  0.5961  0.7500
Bi  0.5961  0.4039  0.2500

No. 20
Entry from Alexandria via LeMat-Bulk: an optimized crystal structure of BaHgBi2 (GGA-PBE).

- symmetry = I-42d (122)
- total DFT energy (no corrections) (eV/atom) = -2.879
- crystal system = tetragonal

Cell lengths 7.3117, 7.3117, 7.3117 Å; angles 103.02, 103.02, 123.32 degrees
Positions (direct):
Ba  0.0000  0.0000  0.0000
Ba  0.7500  0.2500  0.5000
Hg  0.2500  0.7500  0.5000
Hg  0.5000  0.5000  0.0000
Bi  0.1772  0.6250  0.0522
Bi  0.3750  0.4272  0.5522
Bi  0.5728  0.1250  0.9478
Bi  0.8750  0.8228  0.4478

No. 21
Entry from Alexandria via LeMat-Bulk: an optimized crystal structure of Ba4HgBi (GGA-PBE).

- symmetry = P4/mmm (123)
- total DFT energy (no corrections) (eV/atom) = -2.458
- crystal system = tetragonal

Cell lengths 5.9485, 5.9485, 8.5287 Å; angles 90.00, 90.00, 90.00 degrees
Positions (direct):
Ba  0.0000  0.5000  0.2444
Ba  0.0000  0.5000  0.7556
Ba  0.5000  0.0000  0.2444
Ba  0.5000  0.0000  0.7556
Hg  0.0000  0.0000  0.0000
Bi  0.5000  0.5000  0.5000